1.
{
  "formula": "SiRuBr2",
  "functional": "PBE-GGA",
  "state": "relaxed",
  "formation_energy_uncorrected_ev_per_atom": 0.034,
  "final_energy_ev_per_atom": -4.4768,
  "space_group": "R3m",
  "lattice": [[9.440, 0.035, 0.021], [8.851, 3.282, 0.021], [8.851, 1.605, 2.863]],
  "species": ["Ru", "Br", "Br", "Si"],
  "fractional_positions": [[0.484, 0.484, 0.484], [0.222, 0.222, 0.222], [0.030, 0.030, 0.030], [0.765, 0.765, 0.765]]
}

2.
{
  "formula": "La2Nd3Y8",
  "functional": "PBE-GGA",
  "state": "relaxed",
  "e_form_mev_per_atom": 231.2,
  "final_energy_ev_per_atom": -5.6050,
  "space_group": "C2/m",
  "lattice": [[6.508, 0.571, 2.574], [2.576, 8.178, 4.509], [1.235, 0.534, 9.593]],
  "species": ["Nd", "Nd", "Nd", "Y", "Y", "Y", "Y", "Y", "Y", "Y", "Y", "La", "La"],
  "fractional_positions": [[0.000, 0.176, 0.824], [0.000, 0.824, 0.176], [0.500, 0.000, 0.000], [0.436, 0.798, 0.437], [0.064, 0.582, 0.582], [0.988, 0.808, 0.808], [0.564, 0.202, 0.563], [0.936, 0.418, 0.418], [0.012, 0.192, 0.192], [0.564, 0.563, 0.202], [0.436, 0.437, 0.798], [0.513, 0.783, 0.783], [0.487, 0.217, 0.217]]
}

3.
{
  "formula": "Tb2TmMg9",
  "functional": "PBE-GGA",
  "state": "relaxed",
  "e_form_mev_per_atom": -56.4,
  "final_energy_ev_per_atom": -2.3967,
  "space_group": "P4/mmm",
  "lattice": [[4.665, 0.000, 0.000], [0.000, 4.665, 0.000], [0.000, 0.000, 13.962]],
  "species": ["Mg", "Mg", "Mg", "Mg", "Mg", "Mg", "Mg", "Mg", "Mg", "Tb", "Tb", "Tm"],
  "fractional_positions": [[0.000, 0.500, 0.835], [0.500, 0.000, 0.165], [0.500, 0.000, 0.500], [0.500, 0.500, 0.000], [0.000, 0.500, 0.165], [0.500, 0.500, 0.668], [0.500, 0.000, 0.835], [0.000, 0.500, 0.500], [0.500, 0.500, 0.332], [0.000, 0.000, 0.668], [0.000, 0.000, 0.332], [0.000, 0.000, 0.000]]
}

4.
{
  "formula": "YTh2Pa",
  "functional": "PBE-GGA",
  "state": "relaxed",
  "e_form_mev_per_atom": 274.7,
  "final_energy_ev_per_atom": -7.4253,
  "space_group": "Fm-3m",
  "lattice": [[-1.879, -5.216, 0.155], [1.996, -3.556, 3.760], [-3.201, -1.670, 4.210]],
  "species": ["Pa", "Y", "Th", "Th"],
  "fractional_positions": [[0.500, 0.500, 0.500], [0.000, 0.000, 0.000], [0.750, 0.750, 0.750], [0.250, 0.250, 0.250]]
}

5.
{
  "formula": "SrTcO3",
  "functional": "PBE-GGA",
  "state": "relaxed",
  "formation_energy_uncorrected_ev_per_atom": -1.981,
  "final_energy_ev_per_atom": -7.3653,
  "space_group": "Cmcm",
  "lattice": [[-0.831, -3.773, 0.200], [5.571, -1.246, -0.339], [0.831, 2.115, 5.873]],
  "species": ["Tc", "Tc", "O", "O", "O", "O", "O", "O", "Sr", "Sr"],
  "fractional_positions": [[0.491, 0.750, 0.483], [0.509, 0.250, 0.517], [0.991, 0.750, 0.483], [0.009, 0.250, 0.517], [0.370, 0.010, 0.241], [0.370, 0.490, 0.241], [0.630, 0.510, 0.759], [0.630, 0.990, 0.759], [0.798, 0.250, 0.096], [0.202, 0.750, 0.904]]
}

6.
{
  "formula": "LuGaRh4",
  "functional": "PBE-GGA",
  "state": "relaxed",
  "e_form_mev_per_atom": -441.9,
  "final_energy_ev_per_atom": -6.6009,
  "space_group": "F-43m",
  "lattice": [[-2.133, 0.229, -4.737], [2.233, -2.492, -3.980], [-2.271, -4.212, -2.034]],
  "species": ["Rh", "Rh", "Rh", "Rh", "Lu", "Ga"],
  "fractional_positions": [[0.626, 0.626, 0.123], [0.123, 0.626, 0.626], [0.626, 0.626, 0.626], [0.626, 0.123, 0.626], [0.250, 0.250, 0.250], [0.000, 0.000, 0.000]]
}

7.
{
  "formula": "SrPrCu",
  "functional": "PBE-GGA",
  "state": "relaxed",
  "e_form_mev_per_atom": 2.9,
  "final_energy_ev_per_atom": -3.5163,
  "space_group": "I4mm",
  "lattice": [[-1.189, 2.846, -2.106], [0.978, -1.872, -3.081], [-6.102, -3.282, 2.321]],
  "species": ["Sr", "Pr", "Cu"],
  "fractional_positions": [[0.028, 0.028, 0.057], [0.291, 0.291, 0.582], [0.680, 0.680, 0.361]]
}

8.
{
  "formula": "Ac2HoZn4",
  "functional": "PBE-GGA",
  "state": "relaxed",
  "e_form_mev_per_atom": -121.3,
  "final_energy_ev_per_atom": -2.6771,
  "space_group": "I4/mmm",
  "lattice": [[5.150, 0.000, -1.642], [-0.523, 5.123, -1.642], [-0.397, -0.439, 7.654]],
  "species": ["Ac", "Ac", "Zn", "Zn", "Zn", "Zn", "Ho"],
  "fractional_positions": [[0.718, 0.718, 0.436], [0.282, 0.282, 0.564], [0.598, 0.098, 0.195], [0.098, 0.598, 0.195], [0.902, 0.402, 0.805], [0.402, 0.902, 0.805], [0.000, 0.000, 0.000]]
}

9.
{
  "formula": "Er2ScZn2Ga2",
  "functional": "PBE-GGA",
  "state": "relaxed",
  "e_form_mev_per_atom": -371.2,
  "final_energy_ev_per_atom": -3.8082,
  "space_group": "R-3m",
  "lattice": [[-2.606, 0.551, 3.460], [-1.902, -3.456, 1.873], [5.480, -1.882, 7.182]],
  "species": ["Ga", "Ga", "Er", "Er", "Sc", "Zn", "Zn"],
  "fractional_positions": [[0.732, 0.732, 0.804], [0.268, 0.268, 0.196], [0.876, 0.876, 0.373], [0.124, 0.124, 0.627], [0.000, 0.000, 0.000], [0.389, 0.389, 0.834], [0.611, 0.611, 0.166]]
}

10.
{
  "formula": "AlGe3P",
  "functional": "PBE-GGA",
  "state": "relaxed",
  "e_form_mev_per_atom": 664.9,
  "final_energy_ev_per_atom": -3.9360,
  "space_group": "Pm-3m",
  "lattice": [[4.797, 0.000, 0.000], [0.000, 4.797, 0.000], [0.000, 0.000, 4.797]],
  "species": ["Ge", "Ge", "Ge", "P", "Al"],
  "fractional_positions": [[0.500, 0.000, 0.000], [0.000, 0.500, 0.000], [0.000, 0.000, 0.500], [0.000, 0.000, 0.000], [0.500, 0.500, 0.500]]
}

11.
{
  "formula": "SrCaY",
  "functional": "PBE-GGA",
  "state": "relaxed",
  "e_form_mev_per_atom": 191.5,
  "final_energy_ev_per_atom": -3.1910,
  "space_group": "Imm2",
  "lattice": [[6.780, -0.004, 0.010], [3.459, 5.831, -0.010], [-4.533, -3.945, 3.140]],
  "species": ["Sr", "Ca", "Y"],
  "fractional_positions": [[0.670, 0.670, 0.000], [0.993, 0.993, 0.000], [0.337, 0.337, 0.000]]
}

12.
{
  "formula": "K2InBi",
  "functional": "PBE-GGA",
  "state": "relaxed",
  "e_form_mev_per_atom": -230.4,
  "final_energy_ev_per_atom": -2.4340,
  "space_group": "Cm",
  "lattice": [[-3.715, 4.020, 0.826], [-6.522, -2.566, 1.708], [-0.805, 1.167, 9.248]],
  "species": ["Bi", "Bi", "K", "K", "K", "K", "In", "In"],
  "fractional_positions": [[0.512, 0.693, 0.283], [0.124, 0.985, 0.768], [0.441, 0.429, 0.688], [0.818, 0.839, 0.525], [0.817, 0.343, 0.022], [0.196, 0.247, 0.360], [0.501, 0.015, 0.983], [0.132, 0.666, 0.069]]
}

13.
{
  "formula": "SrCo2Cl",
  "functional": "PBE-GGA",
  "state": "relaxed",
  "formation_energy_uncorrected_ev_per_atom": 0.890,
  "final_energy_ev_per_atom": -3.5455,
  "space_group": "Fm-3m",
  "lattice": [[0.000, 3.363, 3.363], [3.363, 0.000, 3.363], [3.363, 3.363, 0.000]],
  "species": ["Cl", "Co", "Co", "Sr"],
  "fractional_positions": [[0.000, 0.000, 0.000], [0.250, 0.250, 0.250], [0.750, 0.750, 0.750], [0.500, 0.500, 0.500]]
}

14.
{
  "formula": "GdTlAu2",
  "functional": "PBE-GGA",
  "state": "relaxed",
  "e_form_mev_per_atom": -513.3,
  "final_energy_ev_per_atom": -6.2637,
  "space_group": "P4/mmm",
  "lattice": [[3.729, 0.000, 0.000], [0.000, 3.729, 0.000], [0.000, 0.000, 6.818]],
  "species": ["Au", "Au", "Gd", "Tl"],
  "fractional_positions": [[0.000, 0.000, 0.769], [0.000, 0.000, 0.231], [0.500, 0.500, 0.000], [0.500, 0.500, 0.500]]
}

15.
{
  "formula": "KSnP2Pd4",
  "functional": "PBE-GGA",
  "state": "relaxed",
  "e_form_mev_per_atom": -451.1,
  "final_energy_ev_per_atom": -5.0375,
  "space_group": "P4/mmm",
  "lattice": [[4.022, 0.000, 0.000], [0.000, 4.022, 0.000], [0.000, 0.000, 10.344]],
  "species": ["Pd", "Pd", "Pd", "Pd", "K", "P", "P", "Sn"],
  "fractional_positions": [[0.000, 0.500, 0.813], [0.500, 0.000, 0.187], [0.500, 0.000, 0.813], [0.000, 0.500, 0.187], [0.000, 0.000, 0.500], [0.500, 0.500, 0.308], [0.500, 0.500, 0.692], [0.000, 0.000, 0.000]]
}

16.
{
  "formula": "Er2Ga4Co5",
  "functional": "PBE-GGA",
  "state": "relaxed",
  "e_form_mev_per_atom": -335.3,
  "final_energy_ev_per_atom": -5.4955,
  "space_group": "Fmmm",
  "lattice": [[5.361, 0.000, 0.000], [2.680, 4.492, 0.000], [2.680, 0.000, 7.158]],
  "species": ["Ga", "Ga", "Ga", "Ga", "Co", "Co", "Co", "Co", "Co", "Er", "Er"],
  "fractional_positions": [[0.212, 0.315, 0.261], [0.788, 0.685, 0.739], [0.473, 0.315, 0.739], [0.527, 0.685, 0.261], [0.500, 0.500, 0.000], [0.750, 0.500, 0.500], [0.000, 0.500, 0.000], [0.250, 0.500, 0.500], [0.500, 0.000, 0.000], [0.875, 0.000, 0.251], [0.125, 0.000, 0.749]]
}

17.
{
  "formula": "BaCrSbI2",
  "functional": "PBE-GGA",
  "state": "relaxed",
  "formation_energy_uncorrected_ev_per_atom": -0.523,
  "final_energy_ev_per_atom": -4.2772,
  "space_group": "P4/mmm",
  "lattice": [[-4.999, -2.258, -1.512], [1.178, -4.652, 3.057], [-2.323, 2.250, 4.319]],
  "species": ["Sb", "I", "I", "Ba", "Cr"],
  "fractional_positions": [[0.000, 0.000, 0.500], [0.000, 0.500, 0.000], [0.500, 0.000, 0.000], [0.500, 0.500, 0.500], [0.000, 0.000, 0.000]]
}

18.
{
  "formula": "NpSn3Se6",
  "functional": "PBE-GGA",
  "state": "relaxed",
  "formation_energy_uncorrected_ev_per_atom": -0.558,
  "final_energy_ev_per_atom": -5.1432,
  "space_group": "P2_1/m",
  "lattice": [[-3.959, 0.785, -0.651], [-0.675, -9.291, -7.088], [-2.804, -5.062, 10.943]],
  "species": ["Sn", "Sn", "Sn", "Sn", "Sn", "Sn", "Se", "Se", "Se", "Se", "Se", "Se", "Se", "Se", "Se", "Se", "Se", "Se", "Np", "Np"],
  "fractional_positions": [[0.750, 0.653, 0.484], [0.250, 0.846, 0.890], [0.750, 0.154, 0.110], [0.250, 0.552, 0.151], [0.750, 0.448, 0.849], [0.250, 0.347, 0.516], [0.750, 0.805, 0.743], [0.750, 0.393, 0.081], [0.250, 0.510, 0.376], [0.250, 0.086, 0.844], [0.250, 0.195, 0.257], [0.750, 0.789, 0.302], [0.250, 0.607, 0.919], [0.750, 0.111, 0.458], [0.750, 0.914, 0.156], [0.250, 0.889, 0.542], [0.250, 0.211, 0.698], [0.750, 0.490, 0.624], [0.250, 0.971, 0.337], [0.750, 0.029, 0.663]]
}